Record 1
First-principles (PBE) data for a geometry-optimized SrCdSe2 structure, as listed in Alexandria via LeMat-Bulk.

Unit cell a=8.9939 b=8.9939 c=8.9939 alpha=27.65 beta=27.65 gamma=27.65
Fractional positions:
1 Sr 0.0000 0.0000 0.0000
2 Se 0.8892 0.8892 0.8892
3 Se 0.1108 0.1108 0.1108
4 Cd 0.5000 0.5000 0.5000

E_form (uncorrected) in eV/atom: -0.479
Space group: No. 166

Record 2
First-principles (PBE) data for a geometry-optimized SrCdSe2 structure, as listed in Alexandria via LeMat-Bulk.

Unit cell a=7.2879 b=7.2879 c=4.3600 alpha=93.11 beta=93.11 gamma=32.64
Fractional positions:
1 Cd 0.7912 0.7912 0.7203
2 Se 0.9677 0.9677 0.9244
3 Se 0.2097 0.2097 0.4208
4 Sr 0.5314 0.5314 0.4346

E_form (uncorrected) in eV/atom: -1.186
Space group: No. 8

Record 3
First-principles (PBE) data for a geometry-optimized Sr2CdSe2 structure, as listed in Alexandria via LeMat-Bulk.

Unit cell a=8.5220 b=8.5220 c=3.9926 alpha=90.00 beta=90.00 gamma=90.00
Fractional positions:
1 Sr 0.1550 0.6550 0.5000
2 Sr 0.6550 0.8450 0.5000
3 Sr 0.8450 0.3450 0.5000
4 Sr 0.3450 0.1550 0.5000
5 Se 0.3502 0.8502 0.0000
6 Se 0.8502 0.6498 0.0000
7 Se 0.6498 0.1498 0.0000
8 Se 0.1498 0.3502 0.0000
9 Cd 0.0000 0.0000 0.0000
10 Cd 0.5000 0.5000 0.0000

E_form (uncorrected) in eV/atom: -1.368
Space group: No. 127

Number 1: raw total energy -0.21100 Ry per atom. Number 2: raw total energy -0.26291 Ry per atom. Number 3: raw total energy -0.26586 Ry per atom.